The following is a DFT calculation (PBE) of crystalline TbPrCrN3 at its relaxed geometry.

a = 7.3618 Å, b = 3.4483 Å, c = 7.5276 Å
α = 90.00°, β = 99.02°, γ = 90.00°
Atoms (fractional coordinates):
Tb: 0.1708 0.2500 0.1335
Tb: 0.8292 0.7500 0.8665
Pr: 0.1836 0.2500 0.6800
Pr: 0.8164 0.7500 0.3200
Cr: 0.4029 0.7500 0.4179
Cr: 0.5971 0.2500 0.5821
N: 0.1480 0.7500 0.9062
N: 0.1559 0.7500 0.3761
N: 0.4826 0.2500 0.3411
N: 0.5174 0.7500 0.6589
N: 0.8441 0.2500 0.6239
N: 0.8520 0.2500 0.0938

Summary:
SG: No. 11
ΔE_f (raw) (eV/atom): -1.073
DOS(E_F) (states/eV/cell): 4.58
Volume (A^3/atom): 15.7
Final energy (eV/cell): -100.89

---

The following is a DFT calculation (PBE) of crystalline TbPrCrN4 at its relaxed geometry.

a = 5.6059 Å, b = 5.5123 Å, c = 6.8813 Å
α = 90.00°, β = 108.19°, γ = 90.00°
Atoms (fractional coordinates):
Tb: 0.2059 0.2500 0.0384
Tb: 0.7941 0.7500 0.9616
Pr: 0.2781 0.2500 0.5666
Pr: 0.7219 0.7500 0.4334
Cr: 0.2402 0.7500 0.8079
Cr: 0.7598 0.2500 0.1921
N: 0.0323 0.5049 0.7533
N: 0.0323 0.9951 0.7533
N: 0.4139 0.7500 0.0612
N: 0.4394 0.7500 0.6561
N: 0.5606 0.2500 0.3439
N: 0.5861 0.2500 0.9388
N: 0.9677 0.0049 0.2467
N: 0.9677 0.4951 0.2467

Summary:
SG: No. 11
ΔE_f (raw) (eV/atom): -1.091
Volume (A^3/atom): 14.4
Final energy (eV/cell): -119.95

---

Which of these has the highest volume?
TbPrCrN3

---

Which value of ΔE_f (raw) does entry 2 give?
-1.091 eV/atom

---

Which formula does entry 1 have?
TbPrCrN3

---

What is the formula in the first record?
TbPrCrN3